CrCuBiO5 after structural relaxation, computed with GGA+U.

Output
electronic total energy = -6.06 eV/atom
crystal system = monoclinic

```
CrCuBiO5
1.0
3.184 -4.637 0.000
3.184 4.637 0.000
-2.825 0.000 6.706
Cr Cu Bi O
2 2 2 10
Direct
0.000 0.000 0.000
0.000 0.000 0.500
0.331 0.669 0.750
0.669 0.331 0.250
0.313 0.687 0.250
0.687 0.313 0.750
0.061 0.939 0.250
0.137 0.724 0.926
0.276 0.863 0.574
0.294 0.341 0.582
0.341 0.294 0.082
0.659 0.706 0.918
0.706 0.659 0.418
0.724 0.137 0.426
0.863 0.276 0.074
0.939 0.061 0.750
```